# 1
PBE LiY2NiN, relaxed; formation energy without anion corrections = -0.64 eV/atom; E above lowest polymorph = 0 meV per atom
1.0
-0.830 -2.608 -3.871
4.136 -2.234 0.618
-1.772 -2.677 2.183
Y Ni Li N
2 1 1 1
Direct
0.000 0.500 0.000 Y
0.500 0.000 0.000 Y
0.500 0.500 0.500 Ni
0.000 0.000 0.500 Li
0.000 0.000 0.000 N

# 2
PBE BaHfO2, relaxed; formation energy without anion corrections = -2.31 eV/atom; E above lowest polymorph = 0 meV per atom
1.0
5.377 0.000 0.000
0.000 5.377 0.000
2.689 2.689 5.792
Hf Ba O
2 2 4
Direct
0.000 0.000 0.000 Hf
0.750 0.250 0.500 Hf
0.500 0.500 0.000 Ba
0.250 0.750 0.500 Ba
0.784 0.125 0.250 O
0.966 0.625 0.250 O
0.375 0.216 0.750 O
0.875 0.034 0.750 O

# 3
PBE Dy2Er2In7, relaxed; formation enthalpy at 0 K = 0.034 eV per atom
1.0
6.818 -0.003 -0.550
0.004 7.413 0.003
-0.973 -0.003 6.771
Dy Er In
2 2 7
Direct
0.815 0.500 0.815 Dy
0.185 0.500 0.185 Dy
0.701 0.000 0.299 Er
0.299 0.000 0.701 Er
0.000 0.295 0.500 In
0.500 0.705 0.000 In
0.000 0.705 0.500 In
0.500 0.295 0.000 In
0.000 0.000 0.000 In
0.500 0.702 0.500 In
0.500 0.298 0.500 In

# 4
PBE Tb2Pr4Cd, relaxed; formation enthalpy at 0 K = -0.010 eV per atom; E above lowest polymorph = 0 meV per atom
1.0
-1.196 1.423 3.155
2.628 -1.754 1.786
11.298 13.105 -3.752
Pr Tb Cd
4 2 1
Direct
0.938 0.500 0.877 Pr
0.638 0.000 0.276 Pr
0.062 0.500 0.123 Pr
0.362 0.000 0.724 Pr
0.792 0.500 0.584 Tb
0.208 0.500 0.416 Tb
0.500 0.000 0.000 Cd

# 5
PBE DyNi12Ge6, relaxed; formation enthalpy at 0 K = -0.260 eV per atom
1.0
-2.230 -2.854 -5.625
-3.241 -3.107 4.960
-2.455 6.223 -0.086
Dy Ni Ge
1 12 6
Direct
0.000 0.000 0.000 Dy
0.882 0.118 0.500 Ni
0.843 0.589 0.589 Ni
0.589 0.589 0.843 Ni
0.411 0.157 0.411 Ni
0.411 0.411 0.157 Ni
0.157 0.411 0.411 Ni
0.118 0.500 0.882 Ni
0.500 0.882 0.118 Ni
0.118 0.882 0.500 Ni
0.882 0.500 0.118 Ni
0.500 0.118 0.882 Ni
0.589 0.843 0.589 Ni
0.705 0.261 0.261 Ge
0.261 0.261 0.705 Ge
0.261 0.705 0.261 Ge
0.739 0.739 0.295 Ge
0.295 0.739 0.739 Ge
0.739 0.295 0.739 Ge

# 6
PBE Be2NbTeRh, relaxed; formation energy without anion corrections = 1.48 eV/atom
1.0
-1.223 4.037 -1.113
1.199 -0.989 -4.907
-4.062 -1.425 -0.706
Be Nb Te Rh
2 1 1 1
Direct
0.000 0.000 0.500 Be
0.500 0.000 0.000 Be
0.000 0.500 0.000 Nb
0.000 0.000 0.000 Te
0.500 0.500 0.500 Rh